The following is a DFT calculation (PBE-GGA) of CdSb2Pt7 after structural relaxation.

abc: 11.8560 11.8560 11.8560
angles: 160.54 160.54 27.65
Closest atoms and distances in Å follow each position.
Element x y z (fractional)
Cd1 0.0000 0.0000 0.0000  12 Pt 2.83-2.89
Sb1 0.3313 0.3313 0.0000  8 Pt 2.69-2.74
Sb2 0.6687 0.6687 0.0000  8 Pt 2.69-2.74
Pt1 0.0904 0.5904 0.5000  2 Sb 2.69, 6 Pt 2.83-2.89, 2 Cd 2.89
Pt2 0.2500 0.7500 0.5000  4 Sb 2.74, 4 Pt 2.83
Pt3 0.4096 0.9096 0.5000  2 Sb 2.69, 6 Pt 2.83-2.89, 2 Cd 2.89
Pt4 0.5000 0.5000 0.0000  4 Cd 2.83, 8 Pt 2.89
Pt5 0.5904 0.0904 0.5000  2 Sb 2.69, 6 Pt 2.83-2.89, 2 Cd 2.89
Pt6 0.7500 0.2500 0.5000  4 Sb 2.74, 4 Pt 2.83
Pt7 0.9096 0.4096 0.5000  2 Sb 2.69, 6 Pt 2.83-2.89, 2 Cd 2.89

Raw total energy (eV/atom): -5.42
Total magnetization (μB/cell): 0.000
D(E_F) (states/eV per atom): 0.517